(1)
Density functional theory data (PBE-GGA) for a relaxed Ni4RhW crystal.

Values from the calculation:
As for the formation enthalpy at 0 K: -0.079 eV per atom. For the size of the total moment, the calculation gives 0.00 Bohr magnetons per cell. As for the space-group type: No. 216. The value obtained for the energy above the most stable polymorph in this dataset is 0.000 eV per atom.

abc: 4.671 4.671 4.671
angles: 60.00 60.00 60.00
Positions (direct):
Ni 0.625 0.125 0.625
Ni 0.125 0.625 0.625
Ni 0.625 0.625 0.625
Ni 0.625 0.625 0.125
Rh 0.250 0.250 0.250
W 0.000 0.000 0.000

=====

(2)
Density functional theory data (PBE-GGA) for a relaxed NiRhW crystal.

Values from the calculation:
As for the formation enthalpy at 0 K: 0.466 eV per atom. For the size of the total moment, the calculation gives 0.00 Bohr magnetons per cell. As for the space-group type: No. 216. The value obtained for the energy above the most stable polymorph in this dataset is 0.628 eV per atom.

abc: 4.115 4.115 4.115
angles: 60.00 60.00 60.00
Positions (direct):
Ni 0.000 0.000 0.000
W 0.750 0.750 0.750
Rh 0.500 0.500 0.500

=====

(3)
Density functional theory data (PBE-GGA) for a relaxed NiRh2W crystal.

Values from the calculation:
As for the formation enthalpy at 0 K: 0.385 eV per atom. For the size of the total moment, the calculation gives 0.00 Bohr magnetons per cell. As for the space-group type: No. 122. The value obtained for the energy above the most stable polymorph in this dataset is 0.621 eV per atom.

abc: 6.780 6.780 5.499
angles: 51.94 51.94 90.00
Positions (direct):
Rh 0.875 0.889 0.750
Rh 0.375 0.361 0.750
Rh 0.111 0.625 0.250
Rh 0.639 0.125 0.250
W 0.750 0.250 0.500
W 0.000 0.000 0.000
Ni 0.500 0.500 0.000
Ni 0.250 0.750 0.500

=====

(4)
Density functional theory data (PBE-GGA) for a relaxed NiRh2W crystal.

Values from the calculation:
As for the formation enthalpy at 0 K: -0.068 eV per atom. For the size of the total moment, the calculation gives 0.00 Bohr magnetons per cell. As for the space-group type: No. 12. The value obtained for the energy above the most stable polymorph in this dataset is 0.169 eV per atom.

abc: 4.644 4.644 4.672
angles: 80.65 80.65 34.03
Positions (direct):
Rh 0.001 0.001 0.994
Rh 0.499 0.499 0.506
W 0.250 0.250 0.250
Ni 0.750 0.750 0.750

=====

(5)
Density functional theory data (PBE-GGA) for a relaxed NiRh2W crystal.

Values from the calculation:
As for the formation enthalpy at 0 K: -0.139 eV per atom. For the size of the total moment, the calculation gives 0.00 Bohr magnetons per cell. As for the space-group type: No. 123. The value obtained for the energy above the most stable polymorph in this dataset is 0.097 eV per atom.

abc: 3.719 3.853 3.853
angles: 90.00 90.00 90.00
Positions (direct):
Rh 0.000 0.500 0.500
Rh 0.000 0.000 0.000
W 0.500 0.500 0.000
Ni 0.500 0.000 0.500

=====

(6)
Density functional theory data (PBE-GGA) for a relaxed NiRhW2 crystal.

Values from the calculation:
As for the formation enthalpy at 0 K: -0.029 eV per atom. For the size of the total moment, the calculation gives 0.00 Bohr magnetons per cell. As for the space-group type: No. 139. The value obtained for the energy above the most stable polymorph in this dataset is 0.025 eV per atom.

abc: 4.768 4.768 4.768
angles: 132.80 132.82 68.96
Positions (direct):
Rh 0.250 0.750 0.500
Ni 0.750 0.250 0.500
W 0.500 0.500 0.000
W 0.000 0.000 0.000

=====

(7)
Density functional theory data (PBE-GGA) for a relaxed Ni8Rh2W crystal.

Values from the calculation:
As for the formation enthalpy at 0 K: 0.198 eV per atom. For the size of the total moment, the calculation gives 3.90 Bohr magnetons per cell. As for the space-group type: No. 12.

abc: 4.356 4.988 7.045
angles: 110.75 108.03 89.95
Each line ends with the local moment (μB).
Positions (direct):
W 0.500 0.000 0.000  -0.07
Ni 0.696 0.196 0.392  0.27
Ni 0.869 0.100 0.736  0.49
Ni 0.252 0.501 0.000  0.35
Ni 0.867 0.637 0.736  0.49
Ni 0.131 0.900 0.264  0.49
Ni 0.133 0.363 0.264  0.49
Ni 0.748 0.499 0.000  0.35
Ni 0.304 0.804 0.608  0.27
Rh 0.317 0.317 0.634  0.47
Rh 0.683 0.683 0.366  0.47

=====

(8)
Density functional theory data (PBE-GGA) for a relaxed Ni7Rh2W crystal.

Values from the calculation:
As for the formation enthalpy at 0 K: 0.371 eV per atom. For the size of the total moment, the calculation gives 3.68 Bohr magnetons per cell. As for the space-group type: No. 65.

abc: 2.551 7.851 7.850
angles: 119.25 90.00 90.00
Each line ends with the local moment (μB).
Positions (direct):
Ni 0.500 0.848 0.662  0.41
Ni 0.500 0.500 0.500  0.24
Ni 0.000 0.651 0.349  0.42
Ni 0.500 0.662 0.848  0.41
Ni 0.000 0.349 0.651  0.42
Ni 0.500 0.338 0.152  0.41
Ni 0.500 0.152 0.338  0.41
Rh 0.500 0.195 0.805  0.51
Rh 0.500 0.805 0.195  0.51
W 0.000 0.000 0.000  0.02